(1)
DFT (PBE-GGA) results for DyHoTlAu after structural relaxation.

Lattice parameters (Å, degrees): 3.617 3.617 7.691 90.00 90.00 90.00
Atoms (fractional coordinates):
Au 0.000 0.000 0.361
Ho 0.500 0.500 0.585
Tl 0.000 0.000 0.855
Dy 0.500 0.500 0.127

Computed properties:
Calculated density (g/cm³): 12.0
DOS(E_F) (states/eV/atom): 0.65
Energy above the lowest structure with this stoichiometry (meV/atom): 0
V (Å³/atom): 25.16
Space-group type: P4mm (99)

---

(2)
DFT (PBE-GGA) results for Tb3RhAu2 after structural relaxation.

Lattice parameters (Å, degrees): 4.444 10.944 11.949 90.00 90.00 90.00
Atoms (fractional coordinates):
Rh 0.250 0.374 0.626
Rh 0.250 0.126 0.126
Rh 0.750 0.874 0.874
Rh 0.750 0.626 0.374
Tb 0.750 0.292 0.758
Tb 0.750 0.626 0.953
Tb 0.750 0.874 0.453
Tb 0.250 0.792 0.742
Tb 0.750 0.556 0.613
Tb 0.250 0.708 0.242
Tb 0.250 0.444 0.387
Tb 0.250 0.056 0.887
Tb 0.250 0.374 0.047
Tb 0.750 0.944 0.113
Tb 0.750 0.208 0.258
Tb 0.250 0.126 0.547
Au 0.750 0.012 0.683
Au 0.750 0.488 0.183
Au 0.250 0.700 0.509
Au 0.750 0.200 0.991
Au 0.250 0.800 0.009
Au 0.250 0.988 0.317
Au 0.750 0.300 0.491
Au 0.250 0.512 0.817

Computed properties:
Calculated density (g/cm³): 11.1
DOS(E_F) (states/eV/atom): 0.90
Energy above the lowest structure with this stoichiometry (meV/atom): 0
V (Å³/atom): 24.21
Space-group type: Pnma (62)

---

(3)
DFT (PBE-GGA) results for Be2RePb after structural relaxation.

Lattice parameters (Å, degrees): 4.416 4.416 4.416 60.00 60.00 60.00
Atoms (fractional coordinates):
Be 0.000 0.000 0.000
Be 0.250 0.250 0.250
Re 0.750 0.750 0.750
Pb 0.500 0.500 0.500

Computed properties:
Calculated density (g/cm³): 11.2
DOS(E_F) (states/eV/atom): 0.87
V (Å³/atom): 15.22
Space-group type: F-43m (216)

---

So what do the calculations give for E_form? Going down the list: -0.607; -0.779; 1.107 eV/atom.